Record 1
# Y8AuSe6, optimized geometry, DFT PBE
data_Y8AuSe6
_space_group_name_H-M_alt 'P -3'
_space_group_IT_number 147
_cell_length_a 10.4886
_cell_length_b 10.4886
_cell_length_c 4.0485
_cell_angle_alpha 90.00
_cell_angle_beta 90.00
_cell_angle_gamma 120.00
loop_
_space_group_symop_operation_xyz
'x,y,z'
'-x,-y,-z'
'-y,x-y,z'
'y,-x+y,-z'
'-x+y,-x,z'
'x-y,x,-z'
loop_
_atom_site_label
_atom_site_type_symbol
_atom_site_fract_x
_atom_site_fract_y
_atom_site_fract_z
_atom_site_occupancy
Y1 Y 0.0332 0.7267 0.2513 1
Y2 Y 0.3333 0.6667 0.7484 1
Au1 Au 0.0000 0.0000 0.5000 1
Se1 Se 0.1293 0.4808 0.2494 1
# - Formation energy without anion corrections: -1319.2 meV/atom
# - D(E_F): 12.89 states/eV/f.u.



Record 2
# NaIrAu2, optimized geometry, DFT PBE
data_NaIrAu2
_space_group_name_H-M_alt 'F m -3 m'
_space_group_IT_number 225
_space_group_name_Hall '-F 4 2 3'
_cell_length_a 6.529
_cell_length_b 6.529
_cell_length_c 6.529
_cell_angle_alpha 90.00
_cell_angle_beta 90.00
_cell_angle_gamma 90.00
loop_
_atom_site_label
_atom_site_type_symbol
_atom_site_fract_x
_atom_site_fract_y
_atom_site_fract_z
_atom_site_occupancy
Na1 Na 0.000 0.000 0.000 1
Ir1 Ir 0.000 0.000 0.500 1
Au1 Au 0.250 0.250 0.250 1
# - D(E_F): 0.59 states/eV/f.u.
# - ΔE to the lowest computed polymorph: 0.000 eV/atom
# - Energy relative to the elements: 0.273 eV per atom



Record 3
# LiCaHg5, optimized geometry, DFT PBE
data_LiCaHg5
_space_group_name_H-M_alt 'P 4/m m m'
_space_group_IT_number 123
_space_group_name_Hall '-P 4 2'
_cell_length_a 4.683
_cell_length_b 4.683
_cell_length_c 7.812
_cell_angle_alpha 90.00
_cell_angle_beta 90.00
_cell_angle_gamma 90.00
loop_
_atom_site_label
_atom_site_type_symbol
_atom_site_fract_x
_atom_site_fract_y
_atom_site_fract_z
_atom_site_occupancy
Li1 Li 0.000 0.000 0.000 1
Ca1 Ca 0.000 0.000 0.500 1
Hg1 Hg 0.000 0.500 0.201 1
Hg2 Hg 0.500 0.500 0.500 1
# - D(E_F): 2.97 states/eV/f.u.
# - Energy relative to the elements: -0.302 eV per atom



Record 4
# Ta3TcMo, optimized geometry, DFT PBE
data_Ta3TcMo
_space_group_name_H-M_alt 'P m -3 m'
_space_group_IT_number 221
_space_group_name_Hall '-P 4 2 3'
_cell_length_a 4.742
_cell_length_b 4.742
_cell_length_c 4.742
_cell_angle_alpha 90.00
_cell_angle_beta 90.00
_cell_angle_gamma 90.00
loop_
_atom_site_label
_atom_site_type_symbol
_atom_site_fract_x
_atom_site_fract_y
_atom_site_fract_z
_atom_site_occupancy
Ta1 Ta 0.000 0.000 0.500 1
Tc1 Tc 0.000 0.000 0.000 1
Mo1 Mo 0.500 0.500 0.500 1
# - D(E_F): 6.54 states/eV/f.u.
# - ΔE to the lowest computed polymorph: 1.784 eV/atom
# - Energy relative to the elements: 1.459 eV per atom